[1]
The following is a PBE-GGA calculation of a relaxed structure of ZrMoCl2, from Alexandria via LeMat-Bulk.

Cell lengths 6.540, 6.540, 6.540 Å; angles 90.00, 90.00, 90.00 degrees
Atoms (fractional coordinates):
Zr1 0.000 0.000 0.000
Zr2 0.000 0.500 0.500
Zr3 0.500 0.000 0.500
Zr4 0.500 0.500 0.000
Mo1 0.000 0.000 0.500
Mo2 0.000 0.500 0.000
Mo3 0.500 0.000 0.000
Mo4 0.500 0.500 0.500
Cl1 0.250 0.250 0.250
Cl2 0.250 0.250 0.750
Cl3 0.250 0.750 0.250
Cl4 0.250 0.750 0.750
Cl5 0.750 0.250 0.250
Cl6 0.750 0.250 0.750
Cl7 0.750 0.750 0.250
Cl8 0.750 0.750 0.750

## Properties
- space group = Fm-3m (225)
- energy above the lowest structure with this stoichiometry (meV per atom) = 766.2

***

[2]
The following is a PBE-GGA calculation of a relaxed structure of ZrMoCl2, from Alexandria via LeMat-Bulk.

Cell lengths 4.251, 4.251, 16.709 Å; angles 90.00, 90.00, 90.00 degrees
Atoms (fractional coordinates):
Zr1 0.000 0.000 0.000
Zr2 0.000 0.500 0.250
Zr3 0.500 0.000 0.750
Zr4 0.500 0.500 0.500
Mo1 0.000 0.000 0.500
Mo2 0.000 0.500 0.750
Mo3 0.500 0.000 0.250
Mo4 0.500 0.500 0.000
Cl1 0.238 0.250 0.625
Cl2 0.250 0.738 0.875
Cl3 0.250 0.762 0.375
Cl4 0.262 0.250 0.125
Cl5 0.738 0.750 0.125
Cl6 0.750 0.238 0.375
Cl7 0.750 0.262 0.875
Cl8 0.762 0.750 0.625

## Properties
- space group = I-42d (122)
- energy above the lowest structure with this stoichiometry (meV per atom) = 371.4

***

[3]
The following is a PBE-GGA calculation of a relaxed structure of ZrMoCl2, from Alexandria via LeMat-Bulk.

Cell lengths 3.094, 3.094, 26.225 Å; angles 90.00, 90.00, 120.00 degrees
Atoms (fractional coordinates):
Zr1 0.000 0.000 0.000
Zr2 0.333 0.667 0.667
Zr3 0.667 0.333 0.333
Mo1 0.000 0.000 0.500
Mo2 0.333 0.667 0.167
Mo3 0.667 0.333 0.833
Cl1 0.000 0.000 0.407
Cl2 0.000 0.000 0.593
Cl3 0.333 0.667 0.074
Cl4 0.333 0.667 0.259
Cl5 0.667 0.333 0.741
Cl6 0.667 0.333 0.926

## Properties
- space group = R-3m (166)
- energy above the lowest structure with this stoichiometry (meV per atom) = 169.3

***

[4]
The following is a PBE-GGA calculation of a relaxed structure of ZrMoCl2, from Alexandria via LeMat-Bulk.

Cell lengths 3.552, 3.552, 7.411 Å; angles 90.00, 90.00, 90.00 degrees
Atoms (fractional coordinates):
Zr1 0.000 0.000 0.000
Mo1 0.500 0.500 0.852
Cl1 0.000 0.000 0.634
Cl2 0.500 0.500 0.198

## Properties
- space group = P4mm (99)
- energy above the lowest structure with this stoichiometry (meV per atom) = 197.2

***

[5]
The following is a PBE-GGA calculation of a relaxed structure of ZrMoCl2, from Alexandria via LeMat-Bulk.

Cell lengths 4.284, 4.284, 3.639 Å; angles 90.00, 90.00, 90.00 degrees
Atoms (fractional coordinates):
Zr1 0.000 0.000 0.000
Mo1 0.500 0.500 0.000
Cl1 0.000 0.500 0.500
Cl2 0.500 0.000 0.500

## Properties
- space group = P4/mmm (123)
- energy above the lowest structure with this stoichiometry (meV per atom) = 740.9

***

[6]
The following is a PBE-GGA calculation of a relaxed structure of ZrMoCl2, from Alexandria via LeMat-Bulk.

Cell lengths 3.967, 3.254, 7.589 Å; angles 90.00, 102.88, 90.00 degrees
Atoms (fractional coordinates):
Zr1 0.000 0.000 0.000
Mo1 0.548 0.500 0.157
Cl1 0.331 0.500 0.813
Cl2 0.656 0.000 0.406

## Properties
- space group = Pm (6)
- energy above the lowest structure with this stoichiometry (meV per atom) = 0.0

***

[7]
The following is a PBE-GGA calculation of a relaxed structure of ZrMoCl2, from Alexandria via LeMat-Bulk.

Cell lengths 3.699, 3.699, 10.240 Å; angles 90.00, 90.00, 90.00 degrees
Atoms (fractional coordinates):
Zr1 0.000 0.000 0.000
Zr2 0.500 0.500 0.500
Mo1 0.000 0.500 0.250
Mo2 0.500 0.000 0.750
Cl1 0.000 0.000 0.500
Cl2 0.000 0.500 0.750
Cl3 0.500 0.000 0.250
Cl4 0.500 0.500 0.000

## Properties
- space group = I-4m2 (119)
- energy above the lowest structure with this stoichiometry (meV per atom) = 695.9

***

[8]
The following is a PBE-GGA calculation of a relaxed structure of ZrMoCl2, from Alexandria via LeMat-Bulk.

Cell lengths 6.714, 6.714, 6.714 Å; angles 90.00, 90.00, 90.00 degrees
Atoms (fractional coordinates):
Zr1 0.000 0.000 0.000
Zr2 0.000 0.500 0.500
Zr3 0.500 0.000 0.500
Zr4 0.500 0.500 0.000
Mo1 0.250 0.250 0.250
Mo2 0.250 0.750 0.750
Mo3 0.750 0.250 0.750
Mo4 0.750 0.750 0.250
Cl1 0.000 0.000 0.500
Cl2 0.000 0.500 0.000
Cl3 0.250 0.250 0.750
Cl4 0.250 0.750 0.250
Cl5 0.500 0.000 0.000
Cl6 0.500 0.500 0.500
Cl7 0.750 0.250 0.250
Cl8 0.750 0.750 0.750

## Properties
- space group = F-43m (216)
- energy above the lowest structure with this stoichiometry (meV per atom) = 975.7

***

[9]
The following is a PBE-GGA calculation of a relaxed structure of ZrMoCl2, from Alexandria via LeMat-Bulk.

Cell lengths 2.941, 5.888, 8.804 Å; angles 90.00, 90.00, 90.00 degrees
Atoms (fractional coordinates):
Zr1 0.000 0.000 0.000
Zr2 0.500 0.500 0.000
Mo1 0.000 0.000 0.500
Mo2 0.500 0.500 0.500
Cl1 0.000 0.500 0.257
Cl2 0.000 0.500 0.743
Cl3 0.500 0.000 0.257
Cl4 0.500 0.000 0.743

## Properties
- space group = Cmmm (65)
- energy above the lowest structure with this stoichiometry (meV per atom) = 536.7

***

[10]
The following is a PBE-GGA calculation of a relaxed structure of ZrMoCl2, from Alexandria via LeMat-Bulk.

Cell lengths 2.991, 2.991, 10.356 Å; angles 90.00, 90.00, 90.00 degrees
Atoms (fractional coordinates):
Zr1 0.000 0.000 0.000
Mo1 0.000 0.000 0.500
Cl1 0.500 0.500 0.159
Cl2 0.500 0.500 0.841

## Properties
- space group = P4/mmm (123)
- energy above the lowest structure with this stoichiometry (meV per atom) = 595.2

***

[11]
The following is a PBE-GGA calculation of a relaxed structure of ZrMoCl2, from Alexandria via LeMat-Bulk.

Cell lengths 13.207, 3.183, 4.178 Å; angles 90.00, 108.07, 90.00 degrees
Atoms (fractional coordinates):
Zr1 0.000 0.000 0.000
Zr2 0.500 0.500 0.000
Mo1 0.337 0.000 0.839
Mo2 0.837 0.500 0.839
Cl1 0.105 0.500 0.602
Cl2 0.354 0.500 0.357
Cl3 0.605 0.000 0.602
Cl4 0.854 0.000 0.357

## Properties
- space group = Cm (8)
- energy above the lowest structure with this stoichiometry (meV per atom) = 305.5

***

[12]
The following is a PBE-GGA calculation of a relaxed structure of ZrMo3Cl, from Alexandria via LeMat-Bulk.

Cell lengths 4.465, 4.465, 4.465 Å; angles 90.00, 90.00, 90.00 degrees
Atoms (fractional coordinates):
Zr1 0.000 0.000 0.000
Mo1 0.000 0.500 0.500
Mo2 0.500 0.000 0.500
Mo3 0.500 0.500 0.000
Cl1 0.500 0.500 0.500

## Properties
- space group = Pm-3m (221)

***

no.,volume (Å³/cell),formation energy (no corrections) (eV/atom),VASP energy (eV per formula unit)
1,280,0.293,-21.900
2,302,-0.102,-23.479
3,217,-0.304,-24.287
4,94,-0.276,-24.176
5,67,0.268,-22.001
6,95,-0.473,-24.964
7,140,0.223,-22.181
8,303,0.503,-21.061
9,152,0.064,-22.818
10,93,0.122,-22.584
11,167,-0.168,-23.743
12,89,0.743,-39.171